1.
This record from the Alexandria database describes a relaxed NdY2Tm7 crystal. The functional is GGA-PBE.

Summary:
Crystal system = triclinic
Energy relative to the elements = 0.027 eV/atom
Total magnetization = 0.000 μB per formula unit
Polymorph energy (0 for the lowest one) = 0.0 meV per atom
Final energy = -4.872 eV per atom
Fermi-level density of states = 1.434 states/eV/atom
Calculated volume = 309.1 Å³/cell

abc: 6.0977 7.0539 7.8682
angles: 77.14 75.03 73.28
Element x y z (fractional)
Nd 0.0000 0.0000 0.0000
Y 0.2017 0.2999 0.5996
Y 0.7983 0.7001 0.4004
Tm 0.0000 0.5000 0.0000
Tm 0.2008 0.7994 0.6002
Tm 0.3984 0.1009 0.1993
Tm 0.4007 0.5992 0.1999
Tm 0.5993 0.4008 0.8001
Tm 0.6016 0.8991 0.8007
Tm 0.7992 0.2006 0.3998

---

2.
This record from the Alexandria database describes a relaxed Nd4Y8Tm3 crystal. The functional is GGA-PBE.

Summary:
Crystal system = trigonal
Energy relative to the elements = 0.125 eV/atom
Total magnetization = 0.000 μB per formula unit
Polymorph energy (0 for the lowest one) = 0.0 meV per atom
Final energy = -5.488 eV per atom
Fermi-level density of states = 1.556 states/eV/atom
Calculated volume = 500.6 Å³/cell

abc: 12.5109 12.5109 12.5109
angles: 32.43 32.43 32.43
Element x y z (fractional)
Nd 0.0000 0.0000 0.0000
Nd 0.1639 0.1639 0.1639
Nd 0.5000 0.5000 0.5000
Nd 0.8361 0.8361 0.8361
Y 0.2499 0.2499 0.7469
Y 0.2499 0.7469 0.2499
Y 0.2531 0.7501 0.7501
Y 0.2557 0.2557 0.2557
Y 0.7443 0.7443 0.7443
Y 0.7469 0.2499 0.2499
Y 0.7501 0.2531 0.7501
Y 0.7501 0.7501 0.2531
Tm 0.0000 0.5000 0.5000
Tm 0.5000 0.0000 0.5000
Tm 0.5000 0.5000 0.0000

---

3.
This record from the Alexandria database describes a relaxed Nd3YTm6 crystal. The functional is GGA-PBE.

Summary:
Crystal system = orthorhombic
Energy relative to the elements = 0.156 eV/atom
Total magnetization = 0.000 μB per formula unit
Polymorph energy (0 for the lowest one) = 0.0 meV per atom
Final energy = -4.604 eV per atom
Fermi-level density of states = 1.293 states/eV/atom
Calculated volume = 645.6 Å³/cell

abc: 10.8177 10.8177 6.3443
angles: 90.00 90.00 119.58
Element x y z (fractional)
Nd 0.1121 0.8879 0.5000
Nd 0.2062 0.4331 0.8993
Nd 0.4331 0.2062 0.3993
Nd 0.5669 0.7938 0.8993
Nd 0.7938 0.5669 0.3993
Nd 0.8879 0.1121 0.0000
Y 0.3107 0.6893 0.5604
Y 0.6893 0.3107 0.0604
Tm 0.0257 0.4475 0.3014
Tm 0.1218 0.2147 0.4759
Tm 0.2147 0.1218 0.9759
Tm 0.2326 0.7674 0.0836
Tm 0.4475 0.0257 0.8014
Tm 0.4649 0.5351 0.2856
Tm 0.5351 0.4649 0.7856
Tm 0.5525 0.9743 0.3014
Tm 0.7674 0.2326 0.5836
Tm 0.7853 0.8782 0.4759
Tm 0.8782 0.7853 0.9759
Tm 0.9743 0.5525 0.8014

---

4.
This record from the Alexandria database describes a relaxed Nd12Y2Tm5 crystal. The functional is GGA-PBE.

Summary:
Crystal system = monoclinic
Energy relative to the elements = 0.107 eV/atom
Total magnetization = 0.000 μB per formula unit
Polymorph energy (0 for the lowest one) = 0.0 meV per atom
Final energy = -4.762 eV per atom
Fermi-level density of states = 1.379 states/eV/atom
Calculated volume = 643.5 Å³/cell

abc: 8.7297 8.7297 9.4617
angles: 109.14 109.14 83.68
Element x y z (fractional)
Nd 0.0592 0.5487 0.6967
Nd 0.0770 0.0770 0.2887
Nd 0.1105 0.6736 0.0822
Nd 0.3264 0.8895 0.9178
Nd 0.3847 0.3847 0.5590
Nd 0.4513 0.9408 0.3033
Nd 0.5487 0.0592 0.6967
Nd 0.6153 0.6153 0.4410
Nd 0.6736 0.1105 0.0822
Nd 0.8895 0.3264 0.9178
Nd 0.9230 0.9230 0.7113
Nd 0.9408 0.4513 0.3033
Y 0.2242 0.7758 0.5000
Y 0.7758 0.2242 0.5000
Tm 0.1898 0.1898 0.7337
Tm 0.3040 0.3040 0.1612
Tm 0.5000 0.5000 0.0000
Tm 0.6960 0.6960 0.8388
Tm 0.8102 0.8102 0.2663

---

5.
This record from the Alexandria database describes a relaxed Nd7Y2Tm2 crystal. The functional is GGA-PBE.

Summary:
Crystal system = orthorhombic
Energy relative to the elements = 0.341 eV/atom
Total magnetization = 0.000 μB per formula unit
Polymorph energy (0 for the lowest one) = 193.7 meV per atom
Final energy = -4.682 eV per atom
Fermi-level density of states = 1.596 states/eV/atom
Calculated volume = 393.0 Å³/cell

abc: 6.9028 6.9028 9.7593
angles: 90.00 90.00 122.32
Element x y z (fractional)
Nd 0.0000 0.0000 0.0000
Nd 0.0000 0.5000 0.3171
Nd 0.0000 0.5000 0.6829
Nd 0.5000 0.0000 0.3171
Nd 0.5000 0.0000 0.6829
Nd 0.5000 0.5000 0.1838
Nd 0.5000 0.5000 0.8162
Y 0.2702 0.7298 0.0000
Y 0.7298 0.2702 0.0000
Tm 0.2516 0.2516 0.5000
Tm 0.7484 0.7484 0.5000

---

6.
This record from the Alexandria database describes a relaxed Nd8Y2Tm crystal. The functional is GGA-PBE.

Summary:
Crystal system = monoclinic
Energy relative to the elements = 0.168 eV/atom
Total magnetization = 0.000 μB per formula unit
Polymorph energy (0 for the lowest one) = 30.0 meV per atom
Final energy = -4.881 eV per atom
Fermi-level density of states = 1.743 states/eV/atom
Calculated volume = 382.3 Å³/cell

abc: 10.1264 10.1264 5.8561
angles: 90.15 90.15 39.54
Element x y z (fractional)
Nd 0.1400 0.6840 0.5015
Nd 0.1837 0.1837 0.9990
Nd 0.3160 0.8600 0.4985
Nd 0.3932 0.3932 0.0016
Nd 0.6068 0.6068 0.9984
Nd 0.6840 0.1400 0.5015
Nd 0.8163 0.8163 0.0010
Nd 0.8600 0.3160 0.4985
Y 0.2680 0.2680 0.4999
Y 0.7320 0.7320 0.5001
Tm 0.0000 0.0000 0.0000